No. 1
Compound: Ni2Au
Source: Alexandria via LeMat-Bulk
Functional: PBE
Structure: optimized geometry

Output
The calculation puts the energy at -4.79 eV per atom. Its formation energy from the elements is 0.161 eV per atom. As for the crystal system: orthorhombic.

Geometry as POSCAR:
```
Ni2Au
1.0
-3.045 5.270 -4.922
0.473 -5.982 5.028
-0.580 2.558 3.098
Ni Au
4 2
direct
0.547 0.453 0.250
0.914 0.086 0.250
0.086 0.914 0.750
0.453 0.547 0.750
0.198 0.802 0.250
0.802 0.198 0.750
```

No. 2
Compound: Ni3Au
Source: Alexandria via LeMat-Bulk
Functional: PBE
Structure: optimized geometry

Output
The calculation puts the energy at -5.03 eV per atom. Its formation energy from the elements is 0.126 eV per atom. As for the crystal system: monoclinic.

Geometry as POSCAR:
```
Ni3Au
1.0
-3.620 -2.656 -0.056
-1.841 -3.686 -1.786
7.784 4.537 5.306
Au Ni
1 3
direct
0.000 0.000 0.000
0.969 0.969 0.726
0.031 0.031 0.274
0.000 0.000 0.500
```

No. 3
Compound: NiAu5
Source: Alexandria via LeMat-Bulk
Functional: PBE
Structure: optimized geometry

Output
The calculation puts the energy at -3.61 eV per atom. The value obtained for the offset from the most stable computed form is 30 meV per atom. Its formation energy from the elements is 0.082 eV per atom. As for the crystal system: orthorhombic.

Geometry as POSCAR:
```
NiAu5
1.0
-1.543 1.586 -1.886
-3.946 -5.362 -3.522
-3.489 0.447 3.229
Au Ni
5 1
direct
0.337 0.326 0.000
0.667 0.666 0.000
0.546 0.907 0.500
0.998 0.004 0.000
0.230 0.539 0.500
0.888 0.224 0.500
```

No. 4
Compound: Ni2Au
Source: Alexandria via LeMat-Bulk
Functional: PBE
Structure: optimized geometry

Output
The calculation puts the energy at -4.70 eV per atom. Its formation energy from the elements is 0.244 eV per atom. As for the crystal system: hexagonal.

Geometry as POSCAR:
```
Ni2Au
1.0
-7.201 0.830 -0.979
4.418 -0.724 -5.784
-0.316 -2.639 0.089
Ni Au
6 3
direct
0.692 0.692 0.000
0.000 0.641 0.500
0.359 0.359 0.500
0.000 0.308 0.000
0.308 0.000 0.000
0.641 0.000 0.500
0.667 0.333 0.000
0.000 0.000 0.500
0.333 0.667 0.000
```

No. 5
Compound: NiAu
Source: Alexandria via LeMat-Bulk
Functional: PBE
Structure: optimized geometry

Output
The calculation puts the energy at -4.42 eV per atom. Its formation energy from the elements is 0.112 eV per atom. As for the crystal system: monoclinic.

Geometry as POSCAR:
```
NiAu
1.0
4.917 0.003 -0.019
2.824 4.944 -0.007
-3.628 -3.675 2.400
Ni Au
2 2
direct
0.619 0.232 0.387
0.464 0.518 0.947
0.155 0.763 0.392
0.928 0.987 0.941
```

No. 6
Compound: Ni2Au
Source: Alexandria via LeMat-Bulk
Functional: PBE
Structure: optimized geometry

Output
The calculation puts the energy at -4.76 eV per atom. Its formation energy from the elements is 0.187 eV per atom. As for the crystal system: monoclinic.

Geometry as POSCAR:
```
Ni2Au
1.0
0.728 -0.086 5.037
2.801 -1.568 3.950
3.942 4.684 1.132
Ni Au
4 2
direct
0.281 0.281 0.913
0.661 0.661 0.678
0.611 0.611 0.281
0.958 0.958 0.603
0.321 0.321 0.359
0.001 0.001 0.000
```